Record 1
This record from OQMD via LeMat-Bulk describes TbNiBi after structural relaxation. The functional is PBE.

Cell lengths 7.388, 7.388, 4.172 Å; angles 90.00, 90.00, 120.00 degrees
Fractional positions:
Ni1 0.000 0.000 0.500
Ni2 0.333 0.667 0.000
Ni3 0.667 0.333 0.000
Tb1 0.387 0.387 0.500
Tb2 0.000 0.613 0.500
Tb3 0.613 0.000 0.500
Bi1 0.000 0.276 0.000
Bi2 0.724 0.724 0.000
Bi3 0.276 0.000 0.000

- VASP energy (eV for the cell shown) = -47.476
- symmetry = P-62m, No. 189
- ρ (g/cm³) = 10.776


Record 2
This record from OQMD via LeMat-Bulk describes TbNiBi after structural relaxation. The functional is PBE.

Cell lengths 7.408, 4.560, 7.787 Å; angles 90.00, 90.00, 90.00 degrees
Fractional positions:
Tb1 0.993 0.750 0.715
Tb2 0.507 0.250 0.215
Tb3 0.493 0.750 0.785
Tb4 0.007 0.250 0.285
Bi1 0.220 0.250 0.906
Bi2 0.780 0.750 0.094
Bi3 0.720 0.250 0.594
Bi4 0.280 0.750 0.406
Ni1 0.338 0.250 0.576
Ni2 0.838 0.250 0.924
Ni3 0.162 0.750 0.076
Ni4 0.662 0.750 0.424

- VASP energy (eV for the cell shown) = -63.634
- symmetry = Pnma, No. 62
- ρ (g/cm³) = 10.771